# 1
A crystal of CoNi2Pt relaxed with PBEsol, computed with meta-GGA SCAN.

Output
SG   Pmmm, No. 47
N(E_F)   3.6 states/eV/cell
E   -30.0266 eV/atom
Energy of formation   -0.0656 eV/atom

Cell: 2.584 3.510 5.159 Å, 90.00 90.00 90.00°
Each line ends with the local moment (μB).
Element x y z (fractional)
Co 0.500 0.500 0.500  1.99
Ni 0.000 0.000 0.732  0.91
Ni 0.000 0.000 0.268  0.91
Pt 0.500 0.500 0.000  0.33

# 2
A crystal of CoNi2Pt relaxed with PBEsol, computed with meta-GGA SCAN.

Output
SG   P4mm, No. 99
N(E_F)   4.4 states/eV/cell
E   -29.9942 eV/atom
Energy of formation   -0.0332 eV/atom

Cell: 2.597 2.597 6.936 Å, 90.00 90.00 90.00°
Each line ends with the local moment (μB).
Element x y z (fractional)
Ni 0.000 0.000 0.997  0.89
Ni 0.500 0.500 0.233  0.84
Pt 0.000 0.000 0.502  0.31
Co 0.500 0.500 0.767  1.98

# 3
A crystal of Co2NiPt relaxed with PBEsol, computed with meta-GGA SCAN.

Output
SG   Pmmm, No. 47
N(E_F)   3.0 states/eV/cell
E   -30.3344 eV/atom
Energy of formation   -0.0907 eV/atom

Cell: 2.575 3.574 5.089 Å, 90.00 90.00 90.00°
Each line ends with the local moment (μB).
Element x y z (fractional)
Ni 0.500 0.500 0.000  0.88
Co 0.000 0.000 0.230  2.01
Co 0.000 0.000 0.770  2.01
Pt 0.500 0.500 0.500  0.35

# 4
A crystal of CoNi2Pt relaxed with PBEsol, computed with meta-GGA SCAN.

Output
SG   Cm, No. 8
N(E_F)   3.9 states/eV/cell
E   -30.0370 eV/atom
Energy of formation   -0.0760 eV/atom

Cell: 2.592 4.376 4.399 Å, 100.20 107.14 90.00°
Each line ends with the local moment (μB).
Element x y z (fractional)
Pt 0.499 0.498 0.999  0.31
Ni 0.001 0.000 0.002  0.81
Ni 0.253 0.763 0.505  0.88
Co 0.747 0.240 0.495  1.97

# 5
A crystal of CoNi2Pt relaxed with PBEsol, computed with meta-GGA SCAN.

Output
SG   I4/mmm, No. 139
N(E_F)   3.8 states/eV/cell
E   -30.0603 eV/atom
Energy of formation   -0.0993 eV/atom

Cell: 3.599 3.599 4.412 Å, 114.07 114.07 90.00°
Each line ends with the local moment (μB).
Element x y z (fractional)
Ni 0.250 0.750 0.500  0.92
Ni 0.750 0.250 0.500  0.92
Pt 0.500 0.500 0.000  0.40
Co 0.000 0.000 0.000  1.99

# 6
A crystal of CoNiPt2 relaxed with PBEsol, computed with meta-GGA SCAN.

Output
SG   Cmmm, No. 65
N(E_F)   2.8 states/eV/cell
E   -43.6445 eV/atom
Energy of formation   -0.1786 eV/atom

Cell: 2.668 4.496 4.496 Å, 107.05 90.00 90.00°
Each line ends with the local moment (μB).
Element x y z (fractional)
Pt 0.000 0.000 0.500  0.39
Pt 0.000 0.500 0.000  0.39
Co 0.500 0.000 0.000  2.14
Ni 0.500 0.500 0.500  1.04

# 7
A crystal of CoNiPt2 relaxed with PBEsol, computed with meta-GGA SCAN.

Output
SG   I-4m2, No. 119
N(E_F)   3.5 states/eV/cell
E   -43.5888 eV/atom
Energy of formation   -0.1228 eV/atom

Cell: 3.689 3.689 4.604 Å, 113.62 113.62 90.00°
Each line ends with the local moment (μB).
Element x y z (fractional)
Pt 0.500 0.500 0.000  0.39
Pt 0.250 0.750 0.500  0.41
Ni 0.750 0.250 0.500  0.94
Co 0.000 0.000 0.000  2.06

# 8
A crystal of Co2NiPt relaxed with PBEsol, computed with meta-GGA SCAN.

Output
SG   P4mm, No. 99
N(E_F)   3.2 states/eV/cell
E   -30.2830 eV/atom
Energy of formation   -0.0393 eV/atom

Cell: 2.598 2.598 6.929 Å, 90.00 90.00 90.00°
Each line ends with the local moment (μB).
Element x y z (fractional)
Pt 0.500 0.500 0.752  0.28
Co 0.500 0.500 0.247  1.91
Co 0.000 0.000 0.020  1.98
Ni 0.000 0.000 0.481  0.87

# 9
A crystal of Co2NiPt relaxed with PBEsol, computed with meta-GGA SCAN.

Output
SG   C2/m, No. 12
N(E_F)   3.5 states/eV/cell
E   -30.3026 eV/atom
Energy of formation   -0.0589 eV/atom

Cell: 2.593 4.370 4.409 Å, 100.10 107.10 90.00°
Each line ends with the local moment (μB).
Element x y z (fractional)
Ni 0.000 0.500 0.000  0.78
Pt 0.500 0.000 0.000  0.32
Co 0.748 0.736 0.496  1.95
Co 0.252 0.264 0.504  1.95

# 10
A crystal of Co2NiPt relaxed with PBEsol, computed with meta-GGA SCAN.

Output
SG   P4/mmm, No. 123
N(E_F)   3.3 states/eV/cell
E   -30.2742 eV/atom
Energy of formation   -0.0305 eV/atom

Cell: 2.584 2.584 7.023 Å, 90.00 90.00 89.98°
Each line ends with the local moment (μB).
Element x y z (fractional)
Co 0.000 0.000 0.734  1.98
Co 0.000 0.000 0.266  1.98
Pt 0.500 0.500 0.000  0.32
Ni 0.500 0.500 0.500  0.88

# 11
A crystal of CoNiPt2 relaxed with PBEsol, computed with meta-GGA SCAN.

Output
SG   Amm2, No. 38
N(E_F)   3.3 states/eV/cell
E   -43.5441 eV/atom
Energy of formation   -0.0781 eV/atom

Cell: 2.660 4.002 5.034 Å, 90.00 105.32 90.00°
Each line ends with the local moment (μB).
Element x y z (fractional)
Ni 0.562 0.500 0.124  0.99
Pt 0.297 0.500 0.594  0.43
Pt 0.959 0.000 0.918  0.39
Co 0.695 0.000 0.390  2.17

# 12
A crystal of CoNiPt2 relaxed with PBEsol, computed with meta-GGA SCAN.

Output
SG   P4/mmm, No. 123
N(E_F)   2.9 states/eV/cell
E   -43.6538 eV/atom
Energy of formation   -0.1878 eV/atom

Cell: 3.603 3.782 3.782 Å, 90.00 90.00 90.00°
Each line ends with the local moment (μB).
Element x y z (fractional)
Co 0.500 0.500 0.500  2.16
Pt 0.000 0.500 0.000  0.38
Pt 0.000 0.000 0.500  0.38
Ni 0.500 0.000 0.000  1.03

# 13
A crystal of CoNi2Pt relaxed with PBEsol, computed with meta-GGA SCAN.

Output
SG   Pmm2, No. 25
N(E_F)   3.9 states/eV/cell
E   -30.0435 eV/atom
Energy of formation   -0.0825 eV/atom

Cell: 2.586 3.538 5.109 Å, 90.00 90.00 90.00°
Each line ends with the local moment (μB).
Element x y z (fractional)
Co 0.500 0.500 0.766  2.04
Pt 0.000 0.000 0.501  0.36
Ni 0.500 0.500 0.234  0.88
Ni 0.000 0.000 0.999  0.87

# 14
A crystal of CoNi2Pt relaxed with PBEsol, computed with meta-GGA SCAN.

Output
SG   R-3m, No. 166
N(E_F)   4.3 states/eV/cell
E   -29.9490 eV/atom
Energy of formation   0.0120 eV/atom

Cell: 2.585 2.585 8.329 Å, 81.07 81.07 60.00°
Each line ends with the local moment (μB).
Element x y z (fractional)
Pt 0.500 0.500 0.500  0.17
Ni 0.256 0.256 0.233  0.88
Ni 0.744 0.744 0.767  0.88
Co 0.000 0.000 0.000  1.95

# 15
A crystal of Co2NiPt relaxed with PBEsol, computed with meta-GGA SCAN.

Output
SG   Pmm2, No. 25
N(E_F)   4.1 states/eV/cell
E   -30.2979 eV/atom
Energy of formation   -0.0542 eV/atom

Cell: 2.583 3.507 5.164 Å, 90.00 90.00 90.00°
Each line ends with the local moment (μB).
Element x y z (fractional)
Co 0.500 0.500 0.249  1.93
Co 0.000 0.000 0.019  1.98
Pt 0.500 0.500 0.751  0.36
Ni 0.000 0.000 0.482  0.89

# 16
A crystal of CoNiPt2 relaxed with PBEsol, computed with meta-GGA SCAN.

Output
SG   R3m, No. 160
N(E_F)   3.6 states/eV/cell
E   -43.4918 eV/atom
Energy of formation   -0.0258 eV/atom

Cell: 2.658 2.658 8.656 Å, 81.17 81.17 60.00°
Each line ends with the local moment (μB).
Element x y z (fractional)
Ni 0.245 0.245 0.266  0.92
Pt 0.756 0.756 0.732  0.28
Pt 0.994 0.994 0.017  0.17
Co 0.505 0.505 0.485  2.05

# 17
A crystal of RbCoNi2 relaxed with PBEsol, computed with meta-GGA SCAN.

Output
SG   Fm-3m, No. 225
N(E_F)   3.3 states/eV/cell
E   -16.1042 eV/atom
Energy of formation   1.4933 eV/atom

Cell: 4.407 4.407 4.407 Å, 60.00 60.00 60.00°
Each line ends with the local moment (μB).
Element x y z (fractional)
Ni 0.250 0.250 0.250  0.26
Ni 0.750 0.750 0.750  0.26
Co 0.000 0.000 0.000  1.96
Rb 0.500 0.500 0.500  -0.05

# 18
A crystal of Co2NiRh relaxed with PBEsol, computed with meta-GGA SCAN.

Output
SG   Amm2, No. 38
N(E_F)   3.3 states/eV/cell
E   -21.0785 eV/atom
Energy of formation   0.0598 eV/atom

Cell: 2.522 3.893 4.830 Å, 90.00 105.16 90.00°
Each line ends with the local moment (μB).
Element x y z (fractional)
Co 0.811 0.000 0.998  1.97
Co 0.942 0.500 0.258  1.96
Rh 0.199 0.500 0.775  0.80
Ni 0.547 0.000 0.469  0.86

# 19
A crystal of Co2NiRh relaxed with PBEsol, computed with meta-GGA SCAN.

Output
SG   I4/mmm, No. 139
N(E_F)   2.7 states/eV/cell
E   -21.1411 eV/atom
Energy of formation   -0.0028 eV/atom

Cell: 3.567 3.567 4.370 Å, 114.09 114.09 90.00°
Each line ends with the local moment (μB).
Element x y z (fractional)
Ni 0.500 0.500 0.000  0.86
Rh 0.000 0.000 0.000  0.86
Co 0.250 0.750 0.500  2.05
Co 0.750 0.250 0.500  2.05

# 20
A crystal of Co2NiRh relaxed with PBEsol, computed with meta-GGA SCAN.

Output
SG   Cmmm, No. 65
N(E_F)   3.2 states/eV/cell
E   -21.1069 eV/atom
Energy of formation   0.0314 eV/atom

Cell: 2.537 4.354 4.354 Å, 109.38 90.00 90.00°
Each line ends with the local moment (μB).
Element x y z (fractional)
Co 0.000 0.000 0.500  2.01
Co 0.000 0.500 0.000  2.01
Ni 0.500 0.000 0.000  0.90
Rh 0.500 0.500 0.500  0.74